No. 1
! HoAlZnCu6 (PBE, optimized geometry); values from VASP
&SYSTEM
  ibrav = 0, nat = 18, ntyp = 4
/
ATOMIC_SPECIES
Cu 63.55 Cu.upf
Ho 164.93 Ho.upf
Zn 65.41 Zn.upf
Al 26.98 Al.upf
CELL_PARAMETERS angstrom
-4.6389 -4.0063 -3.0057
5.4121 -1.2910 -6.6321
1.4683 -1.1964 7.0811
ATOMIC_POSITIONS crystal
Cu 0.4187 0.1687 0.8374
Cu 0.6907 0.3768 0.7452
Ho 0.7133 0.4632 0.4265
Cu 0.9455 0.6232 0.2548
Zn 0.5000 0.5000 0.0000
Cu 0.3093 0.6232 0.2548
Zn 0.5000 0.0000 0.0000
Cu 0.5813 0.8313 0.1626
Cu 0.0545 0.8684 0.7452
Cu 0.9790 0.2290 0.9581
Al 0.5000 0.0000 0.5000
Ho 0.2868 0.5367 0.5735
Cu 0.0210 0.7710 0.0419
Cu 0.0545 0.3768 0.7452
Cu 0.3093 0.1316 0.2548
Cu 0.6907 0.8684 0.7452
Cu 0.9455 0.1316 0.2548
Al 0.0000 0.0000 0.5000
! Formation enthalpy at 0 K = 0.09 eV/atom
! N(E_F) = 3.096 states/eV/f.u.

---

No. 2
! Ho2AlZn3Cu12 (PBE, optimized geometry); values from VASP
&SYSTEM
  ibrav = 0, nat = 18, ntyp = 4
/
ATOMIC_SPECIES
Cu 63.55 Cu.upf
Ho 164.93 Ho.upf
Zn 65.41 Zn.upf
Al 26.98 Al.upf
CELL_PARAMETERS angstrom
6.2581 -1.4039 -0.9958
1.8699 6.1350 -0.9958
1.8699 1.0884 6.1193
ATOMIC_POSITIONS crystal
Cu 0.7243 0.1972 0.1972
Cu 0.1368 0.5832 0.5832
Cu 0.8028 0.2757 0.8028
Cu 0.1972 0.1972 0.7243
Ho 0.7063 0.7063 0.7063
Zn 0.5000 0.0000 0.0000
Zn 0.0000 0.0000 0.5000
Cu 0.8028 0.8028 0.2757
Al 0.0000 0.0000 0.0000
Cu 0.5832 0.5832 0.1368
Cu 0.4168 0.4168 0.8632
Cu 0.2757 0.8028 0.8028
Zn 0.0000 0.5000 0.0000
Ho 0.2937 0.2937 0.2937
Cu 0.1972 0.7243 0.1972
Cu 0.5832 0.1368 0.5832
Cu 0.8632 0.4168 0.4168
Cu 0.4168 0.8632 0.4168
! Formation enthalpy at 0 K = 0.01 eV/atom
! N(E_F) = 7.943 states/eV/f.u.

---

No. 3
! Ho4AlZnCu2 (PBE, optimized geometry); values from VASP
&SYSTEM
  ibrav = 0, nat = 8, ntyp = 4
/
ATOMIC_SPECIES
Ho 164.93 Ho.upf
Cu 63.55 Cu.upf
Zn 65.41 Zn.upf
Al 26.98 Al.upf
CELL_PARAMETERS angstrom
-4.8082 1.1615 0.6192
-2.8788 -2.7960 2.9574
-0.6111 4.1523 7.5323
ATOMIC_POSITIONS crystal
Ho 0.3768 0.3768 0.8696
Ho 0.6232 0.6232 0.1304
Ho 0.8733 0.8733 0.3801
Cu 0.7463 0.7463 0.7611
Zn 0.5000 0.5000 0.5000
Ho 0.1267 0.1267 0.6199
Al 0.0000 0.0000 0.0000
Cu 0.2537 0.2537 0.2389
! Formation enthalpy at 0 K = -0.29 eV/atom
! N(E_F) = 6.155 states/eV/f.u.

---

No. 4
! Ho2AlZn4Cu3 (PBE, optimized geometry); values from VASP
&SYSTEM
  ibrav = 0, nat = 10, ntyp = 4
/
ATOMIC_SPECIES
Zn 65.41 Zn.upf
Cu 63.55 Cu.upf
Ho 164.93 Ho.upf
Al 26.98 Al.upf
CELL_PARAMETERS angstrom
-1.8831 -3.3527 -0.8463
3.1785 -2.0577 1.0794
-3.8568 -0.4730 10.4558
ATOMIC_POSITIONS crystal
Zn 0.5000 0.5000 0.0000
Zn 0.0000 0.5000 0.3561
Cu 0.0000 0.5000 0.1404
Zn 0.0000 0.0000 0.0000
Cu 0.0000 0.0000 0.5000
Cu 0.5000 0.0000 0.8596
Ho 0.5000 0.0000 0.2444
Al 0.5000 0.5000 0.5000
Zn 0.5000 0.0000 0.6439
Ho 0.0000 0.5000 0.7556
! Formation enthalpy at 0 K = -0.29 eV/atom
! N(E_F) = 3.434 states/eV/f.u.

---

No. 5
! HoAlZnCu (PBE, optimized geometry); values from VASP
&SYSTEM
  ibrav = 0, nat = 4, ntyp = 4
/
ATOMIC_SPECIES
Zn 65.41 Zn.upf
Al 26.98 Al.upf
Ho 164.93 Ho.upf
Cu 63.55 Cu.upf
CELL_PARAMETERS angstrom
-3.5900 -2.3177 1.7276
0.5046 -2.5056 3.8357
-1.9615 1.3872 3.9336
ATOMIC_POSITIONS crystal
Zn 0.2500 0.2500 0.2500
Al 0.5000 0.5000 0.5000
Ho 0.0000 0.0000 0.0000
Cu 0.7500 0.7500 0.7500
! Formation enthalpy at 0 K = -0.35 eV/atom
! N(E_F) = 1.731 states/eV/f.u.

---

No. 6
! HoAl2Zn8Cu (PBE, optimized geometry); values from VASP
&SYSTEM
  ibrav = 0, nat = 12, ntyp = 4
/
ATOMIC_SPECIES
Al 26.98 Al.upf
Zn 65.41 Zn.upf
Cu 63.55 Cu.upf
Ho 164.93 Ho.upf
CELL_PARAMETERS angstrom
4.6965 -0.0843 -0.3085
2.0917 4.2059 -0.3085
-0.0583 -0.0354 10.1819
ATOMIC_POSITIONS crystal
Al 0.3344 0.3344 0.6642
Zn 0.3311 0.3311 0.9620
Zn 0.6750 0.1661 0.1940
Cu 0.0000 0.0000 0.0000
Zn 0.1661 0.6750 0.1940
Zn 0.3250 0.8339 0.8060
Zn 0.3202 0.3202 0.3894
Zn 0.6798 0.6798 0.6106
Al 0.6656 0.6656 0.3358
Ho 0.0000 0.0000 0.5000
Zn 0.6689 0.6689 0.0380
Zn 0.8339 0.3250 0.8060
! Formation enthalpy at 0 K = -0.06 eV/atom
! N(E_F) = 2.937 states/eV/f.u.

---

No. 7
! HoAlZn4Cu2 (PBE, optimized geometry); values from VASP
&SYSTEM
  ibrav = 0, nat = 8, ntyp = 4
/
ATOMIC_SPECIES
Cu 63.55 Cu.upf
Al 26.98 Al.upf
Zn 65.41 Zn.upf
Ho 164.93 Ho.upf
CELL_PARAMETERS angstrom
-2.2896 2.2277 2.7106
-2.6798 -1.9412 2.5696
4.6249 -0.6937 7.7146
ATOMIC_POSITIONS crystal
Cu 0.2378 0.2378 0.2865
Al 0.5000 0.5000 0.5000
Zn 0.6012 0.6012 0.1965
Zn 0.3988 0.3988 0.8035
Zn 0.8778 0.8778 0.3667
Ho 0.0000 0.0000 0.0000
Cu 0.7622 0.7622 0.7135
Zn 0.1222 0.1222 0.6333
! Formation enthalpy at 0 K = -0.13 eV/atom
! N(E_F) = 3.037 states/eV/f.u.

---

No. 8
! AlCuI4 (PBE, optimized geometry); values from VASP
&SYSTEM
  ibrav = 0, nat = 12, ntyp = 3
/
ATOMIC_SPECIES
Cu 63.55 Cu.upf
Al 26.98 Al.upf
I 126.90 I.upf
CELL_PARAMETERS angstrom
-2.1426 7.2429 2.1519
-5.9099 -3.0001 4.2135
5.9983 -0.5986 7.9872
ATOMIC_POSITIONS crystal
Cu 0.0000 0.0000 0.5000
Cu 0.0000 0.0000 0.0000
Al 0.5000 0.0000 0.5000
I 0.7658 0.7423 0.0000
I 0.7423 0.7658 0.5000
I 0.7658 0.2577 0.0000
I 0.2342 0.7423 0.0000
I 0.7423 0.2342 0.5000
I 0.2577 0.2342 0.5000
Al 0.0000 0.5000 0.0000
I 0.2342 0.2577 0.0000
I 0.2577 0.7658 0.5000
! N(E_F) = 0.501 states/eV/f.u.
! Uncorrected formation energy = -0.23 eV per atom

---

No. 9
! Al3CuI (PBE, optimized geometry); values from VASP
&SYSTEM
  ibrav = 0, nat = 5, ntyp = 3
/
ATOMIC_SPECIES
Al 26.98 Al.upf
Cu 63.55 Cu.upf
I 126.90 I.upf
CELL_PARAMETERS angstrom
4.8011 0.0000 0.0000
0.0000 4.8011 0.0000
0.0000 0.0000 4.8011
ATOMIC_POSITIONS crystal
Al 0.0000 0.5000 0.0000
Cu 0.0000 0.0000 0.0000
I 0.5000 0.5000 0.5000
Al 0.0000 0.0000 0.5000
Al 0.5000 0.0000 0.0000
! N(E_F) = 1.893 states/eV/f.u.
! Uncorrected formation energy = 0.15 eV per atom
! Energy above the lowest structure with this stoichiometry = 0.0000 eV/atom

---

No. 10
! AlCuI2 (PBE, optimized geometry); values from VASP
&SYSTEM
  ibrav = 0, nat = 8, ntyp = 3
/
ATOMIC_SPECIES
Cu 63.55 Cu.upf
Al 26.98 Al.upf
I 126.90 I.upf
CELL_PARAMETERS angstrom
-0.0404 3.6445 -6.7388
-6.6957 -3.2918 -1.7401
-5.5508 3.6237 -2.3620
ATOMIC_POSITIONS crystal
Cu 0.0000 0.0000 0.0000
Al 0.5000 0.5000 0.0000
Cu 0.7500 0.2500 0.5000
I 0.3750 0.3111 0.7500
I 0.6889 0.1250 0.2500
I 0.0611 0.6250 0.2500
Al 0.2500 0.7500 0.5000
I 0.8750 0.9389 0.7500
! N(E_F) = 0.000 states/eV/f.u.
! Uncorrected formation energy = 0.04 eV per atom
! Energy above the lowest structure with this stoichiometry = 0.0000 eV/atom

---

No. 11
! AlCuI3 (PBE, optimized geometry); values from VASP
&SYSTEM
  ibrav = 0, nat = 5, ntyp = 3
/
ATOMIC_SPECIES
I 126.90 I.upf
Al 26.98 Al.upf
Cu 63.55 Cu.upf
CELL_PARAMETERS angstrom
-5.1331 -1.8281 -0.4208
1.7976 -4.4429 -2.6264
0.5365 -2.6052 4.7742
ATOMIC_POSITIONS crystal
I 0.0000 0.0000 0.5000
Al 0.5000 0.5000 0.5000
Cu 0.0000 0.0000 0.0000
I 0.5000 0.0000 0.0000
I 0.0000 0.5000 0.0000
! N(E_F) = 2.276 states/eV/f.u.
! Uncorrected formation energy = 0.11 eV per atom
! Energy above the lowest structure with this stoichiometry = 0.0000 eV/atom

---

No. 12
! AlCu3I (PBE, optimized geometry); values from VASP
&SYSTEM
  ibrav = 0, nat = 5, ntyp = 3
/
ATOMIC_SPECIES
Cu 63.55 Cu.upf
Al 26.98 Al.upf
I 126.90 I.upf
CELL_PARAMETERS angstrom
4.9708 0.0000 0.0000
0.0000 4.9708 0.0000
0.0000 0.0000 4.9708
ATOMIC_POSITIONS crystal
Cu 0.0000 0.5000 0.0000
Cu 0.0000 0.0000 0.5000
Al 0.5000 0.5000 0.5000
Cu 0.5000 0.0000 0.0000
I 0.0000 0.0000 0.0000
! N(E_F) = 3.683 states/eV/f.u.
! Uncorrected formation energy = 1.13 eV per atom
! Energy above the lowest structure with this stoichiometry = 0.4327 eV/atom

---

No. 13
! AlCuI3 (PBE, optimized geometry); values from VASP
&SYSTEM
  ibrav = 0, nat = 5, ntyp = 3
/
ATOMIC_SPECIES
I 126.90 I.upf
Cu 63.55 Cu.upf
Al 26.98 Al.upf
CELL_PARAMETERS angstrom
5.5790 0.0000 0.0000
0.0000 5.5790 0.0000
0.0000 0.0000 5.5790
ATOMIC_POSITIONS crystal
I 0.0000 0.0000 0.5000
Cu 0.5000 0.5000 0.5000
I 0.5000 0.0000 0.0000
Al 0.0000 0.0000 0.0000
I 0.0000 0.5000 0.0000
! N(E_F) = 1.847 states/eV/f.u.
! Uncorrected formation energy = 0.24 eV per atom
! Energy above the lowest structure with this stoichiometry = 0.1350 eV/atom

---

No. 14
! AlCu3I (PBE, optimized geometry); values from VASP
&SYSTEM
  ibrav = 0, nat = 5, ntyp = 3
/
ATOMIC_SPECIES
Cu 63.55 Cu.upf
Al 26.98 Al.upf
I 126.90 I.upf
CELL_PARAMETERS angstrom
-3.1307 -2.3292 -2.6475
3.5038 -1.6557 -2.6867
0.3975 -3.7509 2.8299
ATOMIC_POSITIONS crystal
Cu 0.5000 0.0000 0.0000
Cu 0.0000 0.0000 0.5000
Al 0.0000 0.0000 0.0000
Cu 0.0000 0.5000 0.0000
I 0.5000 0.5000 0.5000
! N(E_F) = 2.928 states/eV/f.u.
! Uncorrected formation energy = 0.70 eV per atom
! Energy above the lowest structure with this stoichiometry = 0.0000 eV/atom

---

No. 15
! AlCu2I8 (PBE, optimized geometry); values from VASP
&SYSTEM
  ibrav = 0, nat = 11, ntyp = 3
/
ATOMIC_SPECIES
Al 26.98 Al.upf
Cu 63.55 Cu.upf
I 126.90 I.upf
CELL_PARAMETERS angstrom
-6.2234 2.9266 -1.0439
-4.7376 -3.5938 6.3029
0.7759 7.4415 4.3714
ATOMIC_POSITIONS crystal
Al 0.0000 0.0000 0.0000
Cu 0.6747 0.8042 0.8042
I 0.7977 0.5760 0.5760
I 0.1816 0.9431 0.2480
Cu 0.3253 0.1958 0.1958
I 0.8184 0.7520 0.0569
I 0.1816 0.2480 0.9431
I 0.6747 0.2212 0.2212
I 0.2023 0.4240 0.4240
I 0.8184 0.0569 0.7520
I 0.3253 0.7788 0.7788
! N(E_F) = 13.737 states/eV/f.u.
! Uncorrected formation energy = -0.23 eV per atom

---

No. 16
! AlCuI2 (PBE, optimized geometry); values from VASP
&SYSTEM
  ibrav = 0, nat = 4, ntyp = 3
/
ATOMIC_SPECIES
Al 26.98 Al.upf
Cu 63.55 Cu.upf
I 126.90 I.upf
CELL_PARAMETERS angstrom
-3.2819 -4.1322 -0.5643
-4.1015 -0.6029 3.3134
-4.9540 0.7647 -1.7431
ATOMIC_POSITIONS crystal
Al 0.0000 0.0000 0.0000
Cu 0.5000 0.5000 0.5000
I 0.2500 0.2500 0.2500
I 0.7500 0.7500 0.7500
! N(E_F) = 0.266 states/eV/f.u.
! Uncorrected formation energy = 0.33 eV per atom
! Energy above the lowest structure with this stoichiometry = 0.2914 eV/atom

---

No. 17
! KAl2CuI8 (PBE, optimized geometry); values from VASP
&SYSTEM
  ibrav = 0, nat = 12, ntyp = 4
/
ATOMIC_SPECIES
Cu 63.55 Cu.upf
I 126.90 I.upf
Al 26.98 Al.upf
K 39.10 K.upf
CELL_PARAMETERS angstrom
7.3791 0.0000 0.0000
-3.6896 6.3905 0.0000
0.0000 0.0000 10.3937
ATOMIC_POSITIONS crystal
Cu 0.0000 0.0000 0.5000
I 0.3333 0.6667 0.9887
I 0.0125 0.3205 0.6679
I 0.9875 0.6795 0.3321
Al 0.6667 0.3333 0.2576
K 0.0000 0.0000 0.0000
I 0.6667 0.3333 0.0113
Al 0.3333 0.6667 0.7423
I 0.3080 0.9875 0.6679
I 0.6795 0.6920 0.6679
I 0.6920 0.0125 0.3321
I 0.3205 0.3080 0.3321
! N(E_F) = 0.000 states/eV/f.u.
! Uncorrected formation energy = -0.67 eV per atom

---

No. 18
! AlCuI2N (PBE, optimized geometry); values from VASP
&SYSTEM
  ibrav = 0, nat = 5, ntyp = 4
/
ATOMIC_SPECIES
I 126.90 I.upf
Cu 63.55 Cu.upf
N 14.01 N.upf
Al 26.98 Al.upf
CELL_PARAMETERS angstrom
5.7654 0.0000 0.0000
0.0000 5.7654 0.0000
0.0000 0.0000 3.5060
ATOMIC_POSITIONS crystal
I 0.0000 0.5000 0.0000
Cu 0.5000 0.5000 0.5000
N 0.0000 0.0000 0.5000
Al 0.0000 0.0000 0.0000
I 0.5000 0.0000 0.0000
! N(E_F) = 3.840 states/eV/f.u.
! Uncorrected formation energy = 0.41 eV per atom
! Energy above the lowest structure with this stoichiometry = 0.0000 eV/atom

---

No. 19
! AlCuIN2 (PBE, optimized geometry); values from VASP
&SYSTEM
  ibrav = 0, nat = 5, ntyp = 4
/
ATOMIC_SPECIES
N 14.01 N.upf
Cu 63.55 Cu.upf
I 126.90 I.upf
Al 26.98 Al.upf
CELL_PARAMETERS angstrom
-1.3677 -3.0642 1.5599
3.3974 -1.4627 0.1054
1.0211 2.8379 6.4699
ATOMIC_POSITIONS crystal
N 0.5000 0.0000 0.0000
Cu 0.5000 0.5000 0.5000
I 0.0000 0.0000 0.5000
Al 0.0000 0.0000 0.0000
N 0.0000 0.5000 0.0000
! N(E_F) = 2.739 states/eV/f.u.
! Uncorrected formation energy = 0.77 eV per atom
! Energy above the lowest structure with this stoichiometry = 0.0000 eV/atom

---

No. 20
! AlCuI2N (PBE, optimized geometry); values from VASP
&SYSTEM
  ibrav = 0, nat = 5, ntyp = 4
/
ATOMIC_SPECIES
I 126.90 I.upf
N 14.01 N.upf
Cu 63.55 Cu.upf
Al 26.98 Al.upf
CELL_PARAMETERS angstrom
5.6934 0.0000 0.0000
0.0000 5.6934 0.0000
0.0000 0.0000 3.7472
ATOMIC_POSITIONS crystal
I 0.5000 0.0000 0.0000
I 0.0000 0.5000 0.0000
N 0.0000 0.0000 0.5000
Cu 0.0000 0.0000 0.0000
Al 0.5000 0.5000 0.5000
! N(E_F) = 1.574 states/eV/f.u.
! Uncorrected formation energy = 0.68 eV per atom
! Energy above the lowest structure with this stoichiometry = 0.2763 eV/atom